No. 1
Computed, not measured: an optimized crystal structure of BaTeRh2 at the PBE-GGA level of DFT.

Structure (POSCAR):
```
BaTeRh2
1.0
7.783 0.000 0.000
0.000 7.783 0.000
3.892 3.892 3.488
Ba Rh Te
2 4 2
direct
0.750 0.250 0.500
0.000 0.000 0.000
0.548 0.125 0.250
0.375 0.452 0.750
0.202 0.625 0.250
0.875 0.798 0.750
0.500 0.500 0.000
0.250 0.750 0.500
```

## Properties
Formation energy (no corrections)   -84 meV per atom
Volume   211.3 Å³ per cell
SG   I-42d
ρ   7.40 g cm⁻³

***

No. 2
Computed, not measured: an optimized crystal structure of BaTeRh3 at the PBE-GGA level of DFT.

Structure (POSCAR):
```
BaTeRh3
1.0
-2.511 -2.688 -3.522
4.429 -1.620 -1.921
-0.106 -4.010 3.137
Ba Rh Te
1 3 1
direct
0.000 0.000 0.000
0.000 0.500 0.000
0.500 0.000 0.000
0.000 0.000 0.500
0.500 0.500 0.500
```

## Properties
Formation energy (no corrections)   1591 meV per atom
Volume   132.0 Å³ per cell
ΔE to the lowest computed polymorph   1.5123 eV/atom
SG   Pm-3m
ρ   7.21 g cm⁻³

***

No. 3
Computed, not measured: an optimized crystal structure of BaTeRh2 at the PBE-GGA level of DFT.

Structure (POSCAR):
```
BaTeRh2
1.0
-0.850 3.514 0.399
-2.500 -0.307 -2.623
-4.870 -1.728 4.845
Rh Te Ba
2 1 1
direct
0.500 0.500 0.260
0.000 0.000 0.045
0.000 0.000 0.402
0.500 0.500 0.792
```

## Properties
Formation energy (no corrections)   -121 meV per atom
Volume   93.7 Å³ per cell
SG   P4mm
ρ   8.34 g cm⁻³

***

No. 4
Computed, not measured: an optimized crystal structure of Ba12Te3Rh5 at the PBE-GGA level of DFT.

Structure (POSCAR):
```
Ba12Te3Rh5
1.0
16.568 0.000 0.000
-5.523 15.621 0.000
-5.523 -7.810 13.528
Rh Ba Te
20 48 12
direct
0.625 0.750 0.875
0.125 0.375 0.250
0.125 0.750 0.375
0.500 0.000 0.500
0.750 0.625 0.375
0.375 0.125 0.750
0.250 0.875 0.125
0.500 0.500 0.000
0.500 0.000 0.000
0.000 0.500 0.500
0.750 0.125 0.875
0.000 0.000 0.000
0.000 0.500 0.000
0.875 0.625 0.750
0.500 0.500 0.500
0.250 0.375 0.625
0.625 0.875 0.250
0.875 0.250 0.625
0.000 0.000 0.500
0.375 0.250 0.125
0.821 0.906 0.027
0.094 0.179 0.473
0.594 0.973 0.679
0.294 0.878 0.973
0.206 0.679 0.084
0.084 0.906 0.378
0.584 0.706 0.679
0.878 0.584 0.906
0.416 0.294 0.321
0.321 0.794 0.416
0.416 0.122 0.594
0.906 0.084 0.878
0.594 0.622 0.416
0.094 0.916 0.122
0.084 0.179 0.206
0.622 0.594 0.916
0.584 0.878 0.406
0.706 0.584 0.179
0.794 0.321 0.916
0.027 0.406 0.821
0.973 0.594 0.179
0.679 0.206 0.584
0.916 0.821 0.794
0.679 0.473 0.594
0.878 0.294 0.473
0.179 0.084 0.706
0.973 0.378 0.294
0.821 0.916 0.294
0.473 0.679 0.094
0.294 0.416 0.821
0.916 0.094 0.622
0.027 0.622 0.706
0.179 0.094 0.973
0.406 0.027 0.321
0.378 0.973 0.794
0.473 0.794 0.878
0.527 0.206 0.122
0.794 0.473 0.378
0.527 0.321 0.906
0.321 0.527 0.406
0.122 0.416 0.094
0.122 0.706 0.527
0.378 0.406 0.084
0.206 0.527 0.622
0.406 0.378 0.584
0.706 0.122 0.027
0.906 0.821 0.527
0.622 0.027 0.206
0.875 0.750 0.125
0.125 0.875 0.750
0.375 0.625 0.250
0.125 0.250 0.875
0.250 0.625 0.875
0.625 0.250 0.375
0.625 0.375 0.750
0.250 0.125 0.375
0.750 0.375 0.125
0.750 0.875 0.625
0.875 0.125 0.250
0.375 0.750 0.625
```

## Properties
Formation energy (no corrections)   -491 meV per atom
Volume   3501.2 Å³ per cell
SG   Ia-3d
ρ   4.83 g cm⁻³

***

No. 5
Computed, not measured: an optimized crystal structure of BaTe2Rh2 at the PBE-GGA level of DFT.

Structure (POSCAR):
```
BaTe2Rh2
1.0
-2.500 -1.967 3.201
-2.021 -2.537 -3.138
2.146 -6.665 0.761
Te Rh Ba
2 2 1
direct
0.641 0.641 0.717
0.359 0.359 0.283
0.750 0.250 0.500
0.250 0.750 0.500
0.000 0.000 0.000
```

## Properties
Formation energy (no corrections)   -674 meV per atom
Volume   127.9 Å³ per cell
ΔE to the lowest computed polymorph   0.0000 eV/atom
SG   I4/mmm
ρ   7.77 g cm⁻³

***

No. 6
Computed, not measured: an optimized crystal structure of BaTe2Rh at the PBE-GGA level of DFT.

Structure (POSCAR):
```
BaTe2Rh
1.0
-2.305 -2.047 -2.646
3.154 -0.259 -2.547
2.021 -6.344 3.147
Ba Te Rh
1 2 1
direct
0.000 0.000 0.460
0.500 0.500 0.234
0.000 0.000 0.925
0.500 0.500 0.880
```

## Properties
Formation energy (no corrections)   -463 meV per atom
Volume   121.5 Å³ per cell
ΔE to the lowest computed polymorph   0.3839 eV/atom
SG   P4mm
ρ   6.77 g cm⁻³

***

No. 7
Computed, not measured: an optimized crystal structure of BaTe2Rh at the PBE-GGA level of DFT.

Structure (POSCAR):
```
BaTe2Rh
1.0
8.256 0.000 0.000
0.000 8.256 0.000
4.128 4.128 3.649
Rh Te Ba
2 4 2
direct
0.500 0.500 0.000
0.250 0.750 0.500
0.219 0.625 0.250
0.875 0.781 0.750
0.531 0.125 0.250
0.375 0.469 0.750
0.000 0.000 0.000
0.750 0.250 0.500
```

## Properties
Formation energy (no corrections)   -847 meV per atom
Volume   248.7 Å³ per cell
ΔE to the lowest computed polymorph   0.0000 eV/atom
SG   I-42d
ρ   6.61 g cm⁻³

***

No. 8
Computed, not measured: an optimized crystal structure of BaTe2Rh at the PBE-GGA level of DFT.

Structure (POSCAR):
```
BaTe2Rh
1.0
-0.959 6.605 -3.013
-4.483 4.101 -4.087
-4.229 5.977 -0.055
Rh Te Ba
1 2 1
direct
0.500 0.500 0.500
0.222 0.222 0.222
0.778 0.778 0.778
0.000 0.000 0.000
```

## Properties
Formation energy (no corrections)   -736 meV per atom
Volume   117.8 Å³ per cell
ΔE to the lowest computed polymorph   0.1106 eV/atom
SG   R-3m
ρ   6.98 g cm⁻³

***

What is the ρ in the sixth record?
6.77 g cm⁻³

***

Look up the ρ of the seventh one.
6.61 g cm⁻³